one | Material: La2BeSi3
Method: DFT, PBE
State: relaxed

Geometry as CIF:
```
data_La2BeSi3
_cell_length_a 7.996
_cell_length_b 8.926
_cell_length_c 13.881
_cell_angle_alpha 90.00
_cell_angle_beta 90.00
_cell_angle_gamma 90.00
_space_group_name_H-M_alt 'F m m m'
_space_group_IT_number 69
_space_group_name_Hall '-F 2 2'
loop_
_atom_site_label
_atom_site_fract_x
_atom_site_fract_y
_atom_site_fract_z
La1 0.000 0.246 0.000
La2 0.250 0.250 0.250
Be1 0.000 0.000 0.334
Si1 0.000 0.000 0.172
Si2 0.239 0.000 0.414
```

## Properties
Magnetic moment   0.0000 μB per atom

two | Material: La2BeSi3
Method: DFT, PBE
State: relaxed

Geometry as CIF:
```
data_La2BeSi3
_cell_length_a 4.019
_cell_length_b 4.473
_cell_length_c 6.909
_cell_angle_alpha 90.00
_cell_angle_beta 90.00
_cell_angle_gamma 90.00
_space_group_name_H-M_alt 'P m m 2'
_space_group_IT_number 25
loop_
_space_group_symop_operation_xyz
'x,y,z'
'-x,-y,z'
'-x,y,z'
'x,-y,z'
loop_
_atom_site_label
_atom_site_fract_x
_atom_site_fract_y
_atom_site_fract_z
La1 0.000 0.000 0.000
La2 0.500 0.000 0.496
Be1 0.000 0.500 0.671
Si1 0.000 0.500 0.347
Si2 0.500 0.500 0.162
Si3 0.500 0.500 0.818
```

## Properties
Magnetic moment   0.0000 μB per atom

Sorted by energy, starting with the most stable: one, two.

one | Material: LaBe3Sn
Method: DFT, PBE
State: relaxed

Geometry as CIF:
```
data_LaBe3Sn
_cell_length_a 4.651
_cell_length_b 4.651
_cell_length_c 4.651
_cell_angle_alpha 90.00
_cell_angle_beta 90.00
_cell_angle_gamma 90.00
_space_group_name_H-M_alt 'P m -3 m'
_space_group_IT_number 221
_space_group_name_Hall '-P 4 2 3'
loop_
_atom_site_label
_atom_site_fract_x
_atom_site_fract_y
_atom_site_fract_z
La1 0.000 0.000 0.000
Be1 0.000 0.500 0.500
Sn1 0.500 0.500 0.500
```

## Properties
Magnetic moment   0.0000 μB per atom

two | Material: LaBe3Sn
Method: DFT, PBE
State: relaxed

Geometry as CIF:
```
data_LaBe3Sn
_cell_length_a 5.034
_cell_length_b 5.034
_cell_length_c 5.034
_cell_angle_alpha 90.00
_cell_angle_beta 90.00
_cell_angle_gamma 90.00
_space_group_name_H-M_alt 'P m -3 m'
_space_group_IT_number 221
_space_group_name_Hall '-P 4 2 3'
loop_
_atom_site_label
_atom_site_fract_x
_atom_site_fract_y
_atom_site_fract_z
La1 0.000 0.000 0.000
Be1 0.000 0.000 0.500
Sn1 0.500 0.500 0.500
```

## Properties
Magnetic moment   0.0000 μB per atom

Sorted by energy, starting with the most stable: one, two.